Material: SrSc2Re
Method: DFT, PBE-GGA
State: relaxed

Properties
As for the symmetry: R-3m. Its total moment is 0.000 μB per formula unit. The calculation puts the density of states at the Fermi level at 3.76 states/eV/cell.

Cell lengths 10.4964, 10.4964, 10.4964 Å; angles 18.48, 18.48, 18.48 degrees
Sites, in units of the cell vectors:
Sr (0.0000, 0.0000, 0.0000)
Sc (0.2285, 0.2285, 0.2285)
Sc (0.7715, 0.7715, 0.7715)
Re (0.5000, 0.5000, 0.5000)



Material: SrSc2Re
Method: DFT, PBE-GGA
State: relaxed

Properties
As for the symmetry: C2/m. Its total moment is 0.000 μB per formula unit. The calculation puts the density of states at the Fermi level at 3.49 states/eV/cell.

Cell lengths 4.3236, 4.3236, 8.1698 Å; angles 95.07, 95.07, 45.00 degrees
Sites, in units of the cell vectors:
Sr (0.0000, 0.0000, 0.0000)
Sc (0.2255, 0.2255, 0.6626)
Sc (0.7745, 0.7745, 0.3374)
Re (0.5000, 0.5000, 0.5000)



Material: Sr2ScRe
Method: DFT, PBE-GGA
State: relaxed

Properties
As for the symmetry: R3m. Its total moment is 0.000 μB per formula unit. The calculation puts the density of states at the Fermi level at 3.29 states/eV/cell.

Cell lengths 11.1689, 11.1689, 11.1689 Å; angles 18.54, 18.54, 18.54 degrees
Sites, in units of the cell vectors:
Sr (0.0000, 0.0000, 0.0000)
Sr (0.2209, 0.2209, 0.2209)
Sc (0.7653, 0.7653, 0.7653)
Re (0.4844, 0.4844, 0.4844)



Material: Sr2ScRe
Method: DFT, PBE-GGA
State: relaxed

Properties
As for the symmetry: Immm. Its total moment is 0.000 μB per formula unit. The calculation puts the density of states at the Fermi level at 4.90 states/eV/cell.

Cell lengths 9.4692, 9.4692, 9.4692 Å; angles 159.73, 153.34, 33.72 degrees
Sites, in units of the cell vectors:
Sr (0.1533, 0.1533, 0.0000)
Sr (0.8467, 0.8467, 0.0000)
Sc (0.5000, 0.0000, 0.5000)
Re (0.0000, 0.5000, 0.5000)



Material: SrScRe2
Method: DFT, PBE-GGA
State: relaxed

Properties
As for the symmetry: Pmmm. Its total moment is 0.000 μB per formula unit. The calculation puts the density of states at the Fermi level at 4.91 states/eV/cell.

Cell lengths 3.3246, 4.5892, 4.9739 Å; angles 90.00, 90.00, 90.00 degrees
Sites, in units of the cell vectors:
Sr (0.0000, 0.0000, 0.0000)
Sc (0.5000, 0.5000, 0.0000)
Re (0.0000, 0.5000, 0.5000)
Re (0.5000, 0.0000, 0.5000)



Material: SrScRe2
Method: DFT, PBE-GGA
State: relaxed

Properties
As for the symmetry: C2/m. Its total moment is 0.000 μB per formula unit. The calculation puts the density of states at the Fermi level at 4.02 states/eV/cell.

Cell lengths 5.2205, 5.2205, 6.0261 Å; angles 104.78, 104.78, 42.14 degrees
Sites, in units of the cell vectors:
Sr (0.0000, 0.0000, 0.0000)
Sc (0.5000, 0.5000, 0.5000)
Re (0.2490, 0.2490, 0.6207)
Re (0.7510, 0.7510, 0.3793)



Material: SrScRe2
Method: DFT, PBE-GGA
State: relaxed

Properties
As for the symmetry: R3m. Its total moment is 0.000 μB per formula unit. The calculation puts the density of states at the Fermi level at 4.96 states/eV/cell.

Cell lengths 10.2101, 10.2101, 10.2101 Å; angles 17.77, 17.77, 17.77 degrees
Sites, in units of the cell vectors:
Sr (0.0000, 0.0000, 0.0000)
Sc (0.7784, 0.7784, 0.7784)
Re (0.2443, 0.2443, 0.2443)
Re (0.5178, 0.5178, 0.5178)



Material: SrScRe2
Method: DFT, PBE-GGA
State: relaxed

Properties
As for the symmetry: F-43m. Its total moment is 0.000 μB per formula unit. The calculation puts the density of states at the Fermi level at 5.14 states/eV/cell.

Cell lengths 4.7685, 4.7685, 4.7685 Å; angles 60.00, 60.00, 60.00 degrees
Sites, in units of the cell vectors:
Sr (0.0000, 0.0000, 0.0000)
Sc (0.2500, 0.2500, 0.2500)
Re (0.5000, 0.5000, 0.5000)
Re (0.7500, 0.7500, 0.7500)



Material: SrSc2Re
Method: DFT, PBE-GGA
State: relaxed

Properties
As for the symmetry: C2/m. Its total moment is 0.002 μB per formula unit. The calculation puts the density of states at the Fermi level at 3.75 states/eV/cell.

Cell lengths 6.0310, 6.0310, 3.0011 Å; angles 103.36, 103.36, 115.13 degrees
Sites, in units of the cell vectors:
Sr (0.0000, 0.0000, 0.0000)
Sc (0.0000, 0.5000, 0.5000)
Sc (0.5000, 0.0000, 0.5000)
Re (0.5000, 0.5000, 0.0000)



Material: SrSc2Re
Method: DFT, PBE-GGA
State: relaxed

Properties
As for the symmetry: P2/m. Its total moment is 0.000 μB per formula unit. The calculation puts the density of states at the Fermi level at 5.63 states/eV/cell.

Cell lengths 3.3673, 3.3665, 9.1581 Å; angles 90.00, 90.10, 90.00 degrees
Sites, in units of the cell vectors:
Sr (0.0000, 0.0000, 0.0000)
Sc (0.4996, 0.5000, 0.3372)
Sc (0.5004, 0.5000, 0.6628)
Re (0.0000, 0.0000, 0.5000)



Material: SrScRe2
Method: DFT, PBE-GGA
State: relaxed

Properties
As for the symmetry: I4/mmm. Its total moment is 0.000 μB per formula unit. The calculation puts the density of states at the Fermi level at 4.60 states/eV/cell.

Cell lengths 5.6652, 5.6652, 5.6652 Å; angles 139.04, 139.04, 59.31 degrees
Sites, in units of the cell vectors:
Sr (0.0000, 0.0000, 0.0000)
Sc (0.5000, 0.5000, 0.0000)
Re (0.2500, 0.7500, 0.5000)
Re (0.7500, 0.2500, 0.5000)



Material: SrScRe2
Method: DFT, PBE-GGA
State: relaxed

Properties
As for the symmetry: Pm. Its total moment is 0.000 μB per formula unit. The calculation puts the density of states at the Fermi level at 4.24 states/eV/cell.

Cell lengths 3.0667, 4.0534, 7.6544 Å; angles 90.00, 95.72, 90.00 degrees
Sites, in units of the cell vectors:
Sr (0.0000, 0.0000, 0.0000)
Sc (0.3554, 0.5000, 0.6192)
Re (0.5202, 0.5000, 0.2986)
Re (0.8943, 0.0000, 0.4161)



Number 1: formation energy 0.356 eV/atom. Number 2: formation energy 0.335 eV/atom. Number 3: formation energy 0.656 eV/atom. Number 4: formation energy 0.502 eV/atom. Number 5: formation energy 0.900 eV/atom. Number 6: formation energy 0.537 eV/atom. Number 7: formation energy 0.699 eV/atom. Number 8: formation energy 0.767 eV/atom. Number 9: formation energy 0.664 eV/atom. Number 10: formation energy 0.104 eV/atom. Number 11: formation energy 0.952 eV/atom. Number 12: formation energy 0.421 eV/atom.